# YNb2Fe2

Crystalline YNb2Fe2 at its relaxed geometry (PBE-GGA, Alexandria via LeMat-Bulk).

Cell lengths 4.337, 4.337, 5.836 Å; angles 68.19, 68.19, 90.00 degrees
Each line ends with the local moment (μB).
Fractional coordinates of all 5 atoms:
Y  0.000  0.000  0.000  0.03
Nb  0.360  0.360  0.281  -0.04
Nb  0.640  0.640  0.719  -0.04
Fe  0.750  0.250  0.500  0.43
Fe  0.250  0.750  0.500  0.43

Summary:
E = -0.6180 Ry per atom
Formation energy from the elements = 0.298 eV per atom
Energy relative to the lowest polymorph listed for this composition = 171 kJ/mol of formula units
Volume = 93.4 Å³/cell
DOS(E_F) = 1.187 states/eV per atom

=====

# YNbFe10

Crystalline YNbFe10 at its relaxed geometry (PBE-GGA, Alexandria via LeMat-Bulk).

Cell lengths 3.972, 4.854, 8.377 Å; angles 90.00, 90.00, 90.00 degrees
Each line ends with the local moment (μB).
Fractional coordinates of all 12 atoms:
Y  0.000  0.000  0.000  -0.25
Nb  0.000  0.500  0.500  -0.75
Fe  0.000  0.000  0.344  1.89
Fe  0.000  0.500  0.819  2.06
Fe  0.000  0.500  0.181  2.06
Fe  0.000  0.000  0.656  1.89
Fe  0.500  0.000  0.500  1.56
Fe  0.500  0.500  0.000  2.16
Fe  0.500  0.253  0.258  1.89
Fe  0.500  0.747  0.742  1.89
Fe  0.500  0.747  0.258  1.89
Fe  0.500  0.253  0.742  1.89

Summary:
E = -0.6174 Ry per atom
Formation energy from the elements = 0.030 eV per atom
Volume = 161.5 Å³/cell
DOS(E_F) = 1.076 states/eV per atom

=====

# YNbFe2

Crystalline YNbFe2 at its relaxed geometry (PBE-GGA, Alexandria via LeMat-Bulk).

Cell lengths 3.131, 3.131, 6.661 Å; angles 90.00, 90.00, 90.00 degrees
Each line ends with the local moment (μB).
Fractional coordinates of all 4 atoms:
Y  0.500  0.500  0.500  -0.08
Nb  0.500  0.500  0.000  -0.16
Fe  0.000  0.000  0.789  0.35
Fe  0.000  0.000  0.211  0.35

Summary:
E = -0.6112 Ry per atom
Formation energy from the elements = 0.049 eV per atom
Volume = 65.3 Å³/cell
DOS(E_F) = 0.448 states/eV per atom

=====

# Y3NbFe8

Crystalline Y3NbFe8 at its relaxed geometry (PBE-GGA, Alexandria via LeMat-Bulk).

Cell lengths 5.073, 5.073, 8.789 Å; angles 73.23, 73.23, 60.00 degrees
Each line ends with the local moment (μB).
Fractional coordinates of all 12 atoms:
Y  0.375  0.375  0.875  -0.42
Y  0.999  0.999  0.004  -0.39
Y  0.501  0.501  0.498  -0.34
Nb  0.875  0.875  0.375  -0.99
Fe  0.933  0.436  0.195  2.01
Fe  0.444  0.939  0.679  2.01
Fe  0.436  0.436  0.195  2.01
Fe  0.939  0.939  0.679  2.01
Fe  0.188  0.188  0.436  1.99
Fe  0.688  0.688  0.937  2.04
Fe  0.436  0.933  0.195  2.01
Fe  0.939  0.444  0.679  2.01

Summary:
E = -0.5999 Ry per atom
Formation energy from the elements = -0.065 eV per atom
Volume = 184.7 Å³/cell
DOS(E_F) = 0.722 states/eV per atom

=====

# YNb2Fe

Crystalline YNb2Fe at its relaxed geometry (PBE-GGA, Alexandria via LeMat-Bulk).

Cell lengths 3.883, 3.883, 10.736 Å; angles 79.58, 79.58, 90.00 degrees
Fractional coordinates of all 8 atoms:
Y  0.000  0.000  0.000
Y  0.750  0.250  0.500
Nb  0.611  0.125  0.250
Nb  0.139  0.625  0.250
Nb  0.375  0.389  0.750
Nb  0.875  0.861  0.750
Fe  0.500  0.500  0.000
Fe  0.250  0.750  0.500

Summary:
E = -0.5919 Ry per atom
Formation energy from the elements = 0.713 eV per atom
Energy relative to the lowest polymorph listed for this composition = 91 kJ/mol of formula units
Volume = 156.5 Å³/cell
DOS(E_F) = 1.739 states/eV per atom

=====

# Nb2ZnFe

Crystalline Nb2ZnFe at its relaxed geometry (PBE-GGA, Alexandria via LeMat-Bulk).

Cell lengths 2.874, 2.874, 9.103 Å; angles 80.92, 80.92, 60.00 degrees
Each line ends with the local moment (μB).
Fractional coordinates of all 4 atoms:
Nb  0.256  0.256  0.233  -0.19
Nb  0.744  0.744  0.767  -0.19
Zn  0.500  0.500  0.500  -0.01
Fe  0.000  0.000  0.000  1.57

Summary:
E = -0.5336 Ry per atom
Formation energy from the elements = 0.209 eV per atom
Volume = 64.0 Å³/cell
DOS(E_F) = 1.113 states/eV per atom

=====

> Among the records above, which one has the lowest DOS(E_F)?

YNbFe2

=====

What did the fifth record say?
# YNb2Fe

Crystalline YNb2Fe at its relaxed geometry (PBE-GGA, Alexandria via LeMat-Bulk).

Cell lengths 3.883, 3.883, 10.736 Å; angles 79.58, 79.58, 90.00 degrees
Fractional coordinates of all 8 atoms:
Y  0.000  0.000  0.000
Y  0.750  0.250  0.500
Nb  0.611  0.125  0.250
Nb  0.139  0.625  0.250
Nb  0.375  0.389  0.750
Nb  0.875  0.861  0.750
Fe  0.500  0.500  0.000
Fe  0.250  0.750  0.500

Summary:
E = -0.5919 Ry per atom
Formation energy from the elements = 0.713 eV per atom
Energy relative to the lowest polymorph listed for this composition = 91 kJ/mol of formula units
Volume = 156.5 Å³/cell
DOS(E_F) = 1.739 states/eV per atom